Compound: Mg2TcPt
Source: the Alexandria database
Functional: PBE
Structure: relaxed

Cell lengths 4.9377, 4.9377, 4.9377 Å; angles 132.16, 132.16, 69.97 degrees
With the nearest neighbours (Å) after each atom.
Sites, in units of the cell vectors:
Mg: 0.2500 0.7500 0.5000  4 Mg 2.83, 4 Tc 2.85, 4 Pt 2.85
Mg: 0.7500 0.2500 0.5000  4 Mg 2.83, 4 Tc 2.85, 4 Pt 2.85
Tc: 0.0000 0.0000 0.0000  4 Pt 2.83, 8 Mg 2.85
Pt: 0.5000 0.5000 0.0000  4 Tc 2.83, 8 Mg 2.85

Output
The calculation puts the relative energy among the computed polymorphs at 159 meV/atom. The formation energy is -0.071 eV per atom. The calculation puts the mass density at 8.75 g/cm³.

Compound: Mg2TcPt9
Source: the Alexandria database
Functional: PBE
Structure: relaxed

Cell lengths 3.9472, 3.9472, 11.9064 Å; angles 90.00, 90.00, 90.00 degrees
With the nearest neighbours (Å) after each atom.
Sites, in units of the cell vectors:
Mg: 0.0000 0.0000 0.1635  12 Pt 2.77-2.86
Mg: 0.0000 0.0000 0.8365  12 Pt 2.77-2.86
Tc: 0.0000 0.0000 0.5000  12 Pt 2.76-2.79
Pt: 0.0000 0.5000 0.0000  4 Mg 2.77, 8 Pt 2.79-2.81
Pt: 0.0000 0.5000 0.3375  2 Tc 2.76, 8 Pt 2.76-2.83, 2 Mg 2.86
Pt: 0.0000 0.5000 0.6625  2 Tc 2.76, 8 Pt 2.76-2.83, 2 Mg 2.86
Pt: 0.5000 0.0000 0.0000  4 Mg 2.77, 8 Pt 2.79-2.81
Pt: 0.5000 0.0000 0.3375  2 Tc 2.76, 8 Pt 2.76-2.83, 2 Mg 2.86
Pt: 0.5000 0.0000 0.6625  2 Tc 2.76, 8 Pt 2.76-2.83, 2 Mg 2.86
Pt: 0.5000 0.5000 0.1674  4 Mg 2.79, 8 Pt 2.81-2.83
Pt: 0.5000 0.5000 0.5000  8 Pt 2.76, 4 Tc 2.79
Pt: 0.5000 0.5000 0.8326  4 Mg 2.79, 8 Pt 2.81-2.83

Output
The formation energy is -0.444 eV per atom. The calculation puts the mass density at 17.03 g/cm³.

Compound: Mg2TcPt
Source: the Alexandria database
Functional: PBE
Structure: relaxed

Cell lengths 2.8292, 2.8292, 8.5762 Å; angles 90.00, 90.00, 90.00 degrees
With the nearest neighbours (Å) after each atom.
Sites, in units of the cell vectors:
Mg: 0.0000 0.0000 0.0000  4 Mg 2.83, 4 Tc 2.88
Mg: 0.5000 0.5000 0.3122  4 Pt 2.81, 4 Mg 2.83
Tc: 0.5000 0.5000 0.7583  4 Pt 2.73, 4 Tc 2.83, 4 Mg 2.88
Pt: 0.0000 0.0000 0.5423  4 Tc 2.73, 4 Mg 2.81, 4 Pt 2.83

Output
The calculation puts the relative energy among the computed polymorphs at 86 meV/atom. The formation energy is -0.143 eV per atom. The calculation puts the mass density at 8.27 g/cm³.

Compound: Mg2TcPt
Source: the Alexandria database
Functional: PBE
Structure: relaxed

Cell lengths 4.1205, 4.1205, 3.8223 Å; angles 90.00, 90.00, 90.00 degrees
With the nearest neighbours (Å) after each atom.
Sites, in units of the cell vectors:
Mg: 0.0000 0.5000 0.0000  4 Tc 2.81, 4 Pt 2.81, 4 Mg 2.91
Mg: 0.5000 0.0000 0.0000  4 Tc 2.81, 4 Pt 2.81, 4 Mg 2.91
Tc: 0.0000 0.0000 0.5000  8 Mg 2.81, 4 Pt 2.91
Pt: 0.5000 0.5000 0.5000  8 Mg 2.81, 4 Tc 2.91

Output
The calculation puts the relative energy among the computed polymorphs at 93 meV/atom. The formation energy is -0.137 eV per atom. The calculation puts the mass density at 8.74 g/cm³.